1.
BaTl2BiRh (GGA-PBE, optimized geometry); polymorph energy (0 for the lowest one) = 0 meV per atom; total magnetic moment = 0.0000 μB per atom; crystal system = tetragonal; energy of formation = -22 kJ per mole of atoms; E_tot = -19.0 eV/cell
1.0
-1.961 -4.526 -1.930
3.800 -2.713 2.501
-3.353 -0.492 4.561
Tl Ba Bi Rh
2 1 1 1
Direct
0.500 0.000 0.000
0.000 0.500 0.000
0.500 0.500 0.500
0.000 0.000 0.500
0.000 0.000 0.000

***

2.
BaTl2BiRh (GGA-PBE, optimized geometry); polymorph energy (0 for the lowest one) = 56 meV per atom; total magnetic moment = 0.0519 μB per atom; crystal system = tetragonal; energy of formation = -17 kJ per mole of atoms; E_tot = -18.7 eV/cell
1.0
-1.702 -4.752 1.624
-1.105 -1.318 -5.015
5.473 -2.176 -0.633
Tl Rh Ba Bi
2 1 1 1
Direct
0.000 0.500 0.000
0.500 0.000 0.000
0.000 0.000 0.000
0.000 0.000 0.500
0.500 0.500 0.500

***

3.
BaZn2BiRh (GGA-PBE, optimized geometry); total magnetic moment = 0.0000 μB per atom; crystal system = tetragonal; energy of formation = -31 kJ per mole of atoms; E_tot = -17.3 eV/cell
1.0
-2.201 0.015 4.462
3.368 -3.258 1.672
3.150 4.046 1.540
Zn Bi Rh Ba
2 1 1 1
Direct
0.500 0.000 0.000
0.000 0.500 0.000
0.000 0.000 0.500
0.000 0.000 0.000
0.500 0.500 0.500